[1]
The following is a DFT calculation (GGA-PBE) of an optimized crystal structure of Ca5Cd2Pt.

## Properties
Electronic total energy: -42.94 eV per cell
Total magnetization: 0.0 μB/f.u.
Formation energy: -3.589 eV per formula unit
SG: Pbam

a b c (Å): 4.583 8.444 12.879
angles (deg): 90.00 90.00 90.00
Element x y z (fractional)
Ca 0.500 0.323 0.075
Ca 0.500 0.677 0.925
Ca 0.500 0.823 0.425
Ca 0.500 0.177 0.575
Ca 0.000 0.851 0.697
Ca 0.000 0.149 0.303
Ca 0.000 0.351 0.803
Ca 0.000 0.649 0.197
Ca 0.000 0.500 0.500
Ca 0.000 0.000 0.000
Cd 0.500 0.437 0.329
Cd 0.500 0.563 0.671
Cd 0.500 0.063 0.829
Cd 0.500 0.937 0.171
Pt 0.000 0.000 0.500
Pt 0.000 0.500 0.000

[2]
The following is a DFT calculation (GGA-PBE) of an optimized crystal structure of RbTb2CuO4.

## Properties
Electronic total energy: -107.42 eV per cell
Total magnetization: 0.0 μB/f.u.
SG: Cmcm

a b c (Å): 3.506 6.199 11.907
angles (deg): 90.00 90.00 106.43
Element x y z (fractional)
Rb 0.100 0.200 0.750
Rb 0.900 0.800 0.250
Tb 0.367 0.733 0.560
Tb 0.633 0.267 0.060
Tb 0.633 0.267 0.440
Tb 0.367 0.733 0.940
Cu 0.825 0.650 0.750
Cu 0.175 0.350 0.250
O 0.252 0.505 0.096
O 0.748 0.495 0.596
O 0.748 0.495 0.904
O 0.252 0.505 0.404
O 0.000 0.000 0.500
O 0.000 0.000 0.000
O 0.416 0.832 0.750
O 0.584 0.168 0.250

[3]
The following is a DFT calculation (GGA-PBE) of an optimized crystal structure of RePbS2.

## Properties
Electronic total energy: -24.90 eV per cell
Total magnetization: 0.0 μB/f.u.
SG: R-3m

a b c (Å): 9.217 9.217 9.217
angles (deg): 20.68 20.68 20.68
Element x y z (fractional)
Pb 0.000 0.000 0.000
Re 0.500 0.500 0.500
S 0.889 0.889 0.889
S 0.111 0.111 0.111

[4]
The following is a DFT calculation (GGA-PBE) of an optimized crystal structure of SrPaSn2.

## Properties
Electronic total energy: -20.57 eV per cell
Total magnetization: 0.3 μB/f.u.
Relative energy among the computed polymorphs: 0 meV per atom
Formation energy: -1.384 eV per formula unit
SG: P4/mmm

a b c (Å): 3.482 3.482 9.311
angles (deg): 90.00 90.00 90.00
Site moments in Bohr magnetons follow the coordinates.
Element x y z (fractional)
Sr 0.500 0.500 0.500  0.00
Pa 0.500 0.500 0.000  0.24
Sn 0.000 0.000 0.764  -0.01
Sn 0.000 0.000 0.236  -0.01

[5]
The following is a DFT calculation (GGA-PBE) of an optimized crystal structure of TiAlP2Cl.

## Properties
Electronic total energy: -23.00 eV per cell
Total magnetization: 1.3 μB/f.u.
Relative energy among the computed polymorphs: 305 meV per atom
SG: P4/mmm

a b c (Å): 4.641 4.641 4.656
angles (deg): 90.00 90.00 90.00
Site moments in Bohr magnetons follow the coordinates.
Element x y z (fractional)
P 0.000 0.500 0.000  0.10
P 0.500 0.000 0.000  0.10
Cl 0.000 0.000 0.500  0.05
Al 0.000 0.000 0.000  -0.01
Ti 0.500 0.500 0.500  -1.43

[6]
The following is a DFT calculation (GGA-PBE) of an optimized crystal structure of LiIrSF2.

## Properties
Electronic total energy: -16.78 eV per cell
Total magnetization: 2.1 μB/f.u.
SG: P4/mmm

a b c (Å): 3.908 5.579 3.908
angles (deg): 90.00 90.00 90.00
Site moments in Bohr magnetons follow the coordinates.
Element x y z (fractional)
S 0.000 0.000 0.000  0.03
Ir 0.500 0.500 0.500  1.85
Li 0.000 0.500 0.000  -0.01
F 0.000 0.000 0.500  0.01
F 0.500 0.000 0.000  0.01

[7]
The following is a DFT calculation (GGA-PBE) of an optimized crystal structure of KNa2TlI4.

## Properties
Electronic total energy: -21.57 eV per cell
Total magnetization: 0.0 μB/f.u.
SG: P2/m

a b c (Å): 4.795 8.465 8.313
angles (deg): 70.83 90.00 90.00
Element x y z (fractional)
K 0.000 0.500 0.500
Na 0.000 0.000 0.000
Na 0.500 0.000 0.500
Tl 0.500 0.500 0.000
I 0.000 0.776 0.741
I 0.000 0.224 0.259
I 0.500 0.775 0.241
I 0.500 0.225 0.759

[8]
The following is a DFT calculation (GGA-PBE) of an optimized crystal structure of Ac7In2Hg2.

## Properties
Electronic total energy: -36.20 eV per cell
Total magnetization: 0.0 μB/f.u.
Formation energy: -1.361 eV per formula unit
SG: Cmmm

a b c (Å): 7.504 8.296 7.504
angles (deg): 89.99 109.43 90.01
Element x y z (fractional)
Ac 0.000 0.284 0.500
Ac 0.500 0.716 0.000
Ac 0.000 0.716 0.500
Ac 0.500 0.284 0.000
Ac 0.000 0.000 0.000
Ac 0.500 0.742 0.500
Ac 0.500 0.258 0.500
In 0.833 0.500 0.833
In 0.167 0.500 0.167
Hg 0.711 0.000 0.289
Hg 0.289 0.000 0.711

[9]
The following is a DFT calculation (GGA-PBE) of an optimized crystal structure of HfTiFe2Te.

## Properties
Electronic total energy: -34.06 eV per cell
Total magnetization: 2.7 μB/f.u.
SG: P4/mmm

a b c (Å): 4.364 5.064 4.364
angles (deg): 90.00 90.00 90.00
Site moments in Bohr magnetons follow the coordinates.
Element x y z (fractional)
Te 0.000 0.500 0.000  0.04
Hf 0.500 0.500 0.500  -0.31
Fe 0.000 0.000 0.500  1.84
Fe 0.500 0.000 0.000  1.72
Ti 0.000 0.000 0.000  -0.47

[10]
The following is a DFT calculation (GGA-PBE) of an optimized crystal structure of Tb3DyY12.

## Properties
Electronic total energy: -95.70 eV per cell
Total magnetization: 0.0 μB/f.u.
Formation energy: 0.360 eV per formula unit
SG: P4/mmm

a b c (Å): 5.046 5.046 20.181
angles (deg): 90.00 90.00 90.00
Element x y z (fractional)
Tb 0.000 0.000 0.250
Tb 0.000 0.000 0.500
Tb 0.000 0.000 0.750
Dy 0.000 0.000 0.000
Y 0.500 0.500 0.000
Y 0.500 0.500 0.250
Y 0.500 0.500 0.500
Y 0.500 0.500 0.750
Y 0.500 0.000 0.125
Y 0.500 0.000 0.375
Y 0.500 0.000 0.625
Y 0.500 0.000 0.875
Y 0.000 0.500 0.125
Y 0.000 0.500 0.375
Y 0.000 0.500 0.625
Y 0.000 0.500 0.875

[11]
The following is a DFT calculation (GGA-PBE) of an optimized crystal structure of LiMgMn2.

## Properties
Electronic total energy: -20.21 eV per cell
Total magnetization: 7.0 μB/f.u.
Formation energy: 1.641 eV per formula unit
SG: P4/mmm

a b c (Å): 2.972 2.972 7.084
angles (deg): 90.00 90.00 90.00
Site moments in Bohr magnetons follow the coordinates.
Element x y z (fractional)
Li 0.500 0.500 0.250  -0.07
Mg 0.500 0.500 0.750  -0.05
Mn 0.000 0.000 0.029  3.47
Mn 0.000 0.000 0.471  3.47

[12]
The following is a DFT calculation (GGA-PBE) of an optimized crystal structure of Pm5Pr4Al.

## Properties
Electronic total energy: -45.81 eV per cell
Total magnetization: 0.0 μB/f.u.
Relative energy among the computed polymorphs: 40 meV per atom
Formation energy: 0.806 eV per formula unit
SG: I4mm

a b c (Å): 5.910 8.210 8.210
angles (deg): 82.56 68.90 68.90
Element x y z (fractional)
Pm 0.782 0.365 0.000
Pm 0.147 0.000 0.635
Pm 0.782 0.000 0.365
Pm 0.148 0.635 0.000
Pm 0.651 0.000 0.000
Pr 0.457 0.310 0.690
Pr 0.767 0.690 0.690
Pr 0.147 0.310 0.310
Pr 0.457 0.690 0.310
Al 0.171 0.000 0.000

[13]
The following is a DFT calculation (GGA-PBE) of an optimized crystal structure of SiNiAu2C.

## Properties
Electronic total energy: -22.30 eV per cell
Total magnetization: 0.0 μB/f.u.
SG: P4/mmm

a b c (Å): 4.412 3.745 4.412
angles (deg): 90.00 90.00 90.00
Element x y z (fractional)
Ni 0.500 0.500 0.500
Si 0.000 0.500 0.000
Au 0.000 0.000 0.500
Au 0.500 0.000 0.000
C 0.000 0.000 0.000

[14]
The following is a DFT calculation (GGA-PBE) of an optimized crystal structure of SbTeI2N.

## Properties
Electronic total energy: -14.18 eV per cell
Total magnetization: 0.0 μB/f.u.
Relative energy among the computed polymorphs: 130 meV per atom
SG: P4/mmm

a b c (Å): 4.898 4.898 5.277
angles (deg): 90.00 90.00 90.00
Element x y z (fractional)
I 0.000 0.500 0.000
I 0.500 0.000 0.000
Sb 0.500 0.500 0.500
Te 0.000 0.000 0.500
N 0.000 0.000 0.000

[15]
The following is a DFT calculation (GGA-PBE) of an optimized crystal structure of ZrTaTl.

## Properties
Electronic total energy: -21.92 eV per cell
Total magnetization: 0.0 μB/f.u.
Relative energy among the computed polymorphs: 93 meV per atom
Formation energy: 0.847 eV per formula unit
SG: P3m1

a b c (Å): 3.206 3.206 7.419
angles (deg): 90.00 90.00 120.00
Element x y z (fractional)
Ta 0.000 0.000 0.994
Tl 0.667 0.333 0.328
Zr 0.333 0.667 0.678

[16]
The following is a DFT calculation (GGA-PBE) of an optimized crystal structure of KCa2Cu.

## Properties
Electronic total energy: -7.89 eV per cell
Total magnetization: 0.0 μB/f.u.
Relative energy among the computed polymorphs: 279 meV per atom
Formation energy: 1.303 eV per formula unit
SG: Fm-3m

a b c (Å): 5.705 5.705 5.705
angles (deg): 60.00 60.00 60.00
Element x y z (fractional)
Ca 0.250 0.250 0.250
Ca 0.750 0.750 0.750
K 0.000 0.000 0.000
Cu 0.500 0.500 0.500

[17]
The following is a DFT calculation (GGA-PBE) of an optimized crystal structure of NaYSi2O6.

## Properties
Electronic total energy: -464.31 eV per cell
Total magnetization: 0.0 μB/f.u.
Relative energy among the computed polymorphs: 9 meV per atom
SG: C2/c

a b c (Å): 6.699 6.699 18.022
angles (deg): 97.14 97.14 103.40
Element x y z (fractional)
Na 0.125 0.875 0.250
Na 0.875 0.125 0.750
Na 0.987 0.355 0.581
Na 0.013 0.645 0.419
Na 0.355 0.987 0.081
Na 0.645 0.013 0.919
Y 0.393 0.607 0.750
Y 0.365 0.271 0.425
Y 0.635 0.729 0.575
Y 0.271 0.365 0.925
Y 0.729 0.635 0.075
Y 0.607 0.393 0.250
Si 0.526 0.184 0.601
Si 0.354 0.113 0.742
Si 0.113 0.354 0.242
Si 0.827 0.173 0.102
Si 0.474 0.816 0.399
Si 0.646 0.887 0.258
Si 0.827 0.173 0.398
Si 0.184 0.526 0.101
Si 0.173 0.827 0.898
Si 0.816 0.474 0.899
Si 0.887 0.646 0.758
Si 0.173 0.827 0.602
O 0.707 0.717 0.199
O 0.293 0.283 0.801
O 0.365 0.555 0.048
O 0.952 0.713 0.551
O 0.717 0.707 0.699
O 0.315 0.999 0.558
O 0.001 0.685 0.942
O 0.666 0.315 0.124
O 0.719 0.079 0.614
O 0.685 0.334 0.376
O 0.508 0.031 0.224
O 0.031 0.508 0.724
O 0.281 0.921 0.386
O 0.048 0.287 0.449
O 0.315 0.666 0.624
O 0.921 0.281 0.886
O 0.445 0.635 0.452
O 0.685 0.001 0.442
O 0.145 0.968 0.682
O 0.713 0.952 0.051
O 0.555 0.365 0.548
O 0.728 0.532 0.816
O 0.334 0.685 0.876
O 0.079 0.719 0.114
O 0.468 0.272 0.684
O 0.532 0.728 0.316
O 0.999 0.315 0.058
O 0.635 0.445 0.952
O 0.287 0.048 0.949
O 0.969 0.492 0.276
O 0.032 0.855 0.818
O 0.272 0.468 0.184
O 0.968 0.145 0.182
O 0.855 0.032 0.318
O 0.283 0.293 0.301
O 0.492 0.969 0.776

[18]
The following is a DFT calculation (GGA-PBE) of an optimized crystal structure of CsSn3Hg.

## Properties
Electronic total energy: -27.69 eV per cell
Total magnetization: 0.0 μB/f.u.
Relative energy among the computed polymorphs: 0 meV per atom
Formation energy: -0.683 eV per formula unit
SG: Cmcm

a b c (Å): 5.201 6.817 10.919
angles (deg): 90.00 103.78 90.00
Element x y z (fractional)
Cs 0.925 0.750 0.850
Cs 0.075 0.250 0.150
Sn 0.702 0.022 0.404
Sn 0.298 0.978 0.596
Sn 0.298 0.522 0.596
Sn 0.702 0.478 0.404
Sn 0.174 0.750 0.348
Sn 0.826 0.250 0.652
Hg 0.569 0.750 0.137
Hg 0.431 0.250 0.863

[19]
The following is a DFT calculation (GGA-PBE) of an optimized crystal structure of La2Nd5Sn4.

## Properties
Electronic total energy: -50.12 eV per cell
Total magnetization: 0.0 μB/f.u.
Formation energy: -0.418 eV per formula unit
SG: Immm

a b c (Å): 4.693 10.039 10.834
angles (deg): 117.60 102.51 90.00
Element x y z (fractional)
La 0.116 0.116 0.231
La 0.884 0.884 0.769
Nd 0.169 0.481 0.339
Nd 0.831 0.519 0.661
Nd 0.169 0.858 0.339
Nd 0.500 0.000 0.000
Nd 0.831 0.142 0.661
Sn 0.714 0.714 0.429
Sn 0.000 0.242 0.000
Sn 0.286 0.286 0.571
Sn 0.000 0.758 0.000

[20]
The following is a DFT calculation (GGA-PBE) of an optimized crystal structure of CsCuH2.

## Properties
Electronic total energy: -9.75 eV per cell
Total magnetization: 0.0 μB/f.u.
Relative energy among the computed polymorphs: 558 meV per atom
SG: R-3m

a b c (Å): 3.426 3.426 6.451
angles (deg): 74.60 74.60 60.00
Element x y z (fractional)
Cs 0.500 0.500 0.500
H 0.289 0.289 0.132
H 0.711 0.711 0.868
Cu 0.000 0.000 0.000

[21]
The following is a DFT calculation (GGA-PBE) of an optimized crystal structure of NdSm2Sb.

## Properties
Electronic total energy: -19.74 eV per cell
Total magnetization: 0.0 μB/f.u.
Relative energy among the computed polymorphs: 227 meV per atom
SG: R-3m

a b c (Å): 4.053 4.053 10.114
angles (deg): 78.44 78.44 60.00
Element x y z (fractional)
Sb 0.000 0.000 0.000
Nd 0.500 0.500 0.500
Sm 0.266 0.266 0.201
Sm 0.734 0.734 0.799

[22]
The following is a DFT calculation (GGA-PBE) of an optimized crystal structure of Na2Sr2Cl.

## Properties
Electronic total energy: -21.34 eV per cell
Total magnetization: 0.0 μB/f.u.
Relative energy among the computed polymorphs: 0 meV per atom
SG: P4/mbm

a b c (Å): 8.191 8.191 6.612
angles (deg): 90.00 90.00 90.00
Element x y z (fractional)
Sr 0.324 0.824 0.000
Sr 0.824 0.676 0.000
Sr 0.676 0.176 0.000
Sr 0.176 0.324 0.000
Na 0.143 0.643 0.500
Na 0.643 0.857 0.500
Na 0.857 0.357 0.500
Na 0.357 0.143 0.500
Cl 0.000 0.000 0.000
Cl 0.500 0.500 0.000

[23]
The following is a DFT calculation (GGA-PBE) of an optimized crystal structure of Sc2ZnFe.

## Properties
Electronic total energy: -22.31 eV per cell
Total magnetization: 0.7 μB/f.u.
Formation energy: 0.087 eV per formula unit
SG: R-3m

a b c (Å): 8.411 8.411 8.411
angles (deg): 22.06 22.06 22.06
Site moments in Bohr magnetons follow the coordinates.
Element x y z (fractional)
Fe 0.750 0.750 0.750  1.45
Sc 0.009 0.009 0.009  -0.25
Sc 0.491 0.491 0.491  -0.25
Zn 0.250 0.250 0.250  0.01